Below is KGa3Pd after structural relaxation, with properties calculated at the PBE level.

Space group: No. 221
E_form (kJ per mole of atoms): 126.98

Lattice parameters (Å, degrees): 5.547 5.547 5.547 90.00 90.00 90.00
Element x y z (fractional)
K 0.000 0.000 0.000
Ga 0.000 0.500 0.000
Ga 0.000 0.000 0.500
Ga 0.500 0.000 0.000
Pd 0.500 0.500 0.500